Entry 1:
## Dy2HoMg3Pd2Pt (GGA-PBE)

Data for a relaxed structure of Dy2HoMg3Pd2Pt.

Summary:
The total energy comes out at -41.87 eV per cell. For the total magnetization, the calculation gives 0.04 μB/cell.

Structure (CIF):
```
data_Dy2HoMg3Pd2Pt
_chemical_formula_sum 'Dy2 Ho1 Mg3 Pd2 Pt1'
_space_group_name_H-M_alt 'P 1'
_space_group_IT_number 1
_cell_length_a 4.096
_cell_length_b 7.371
_cell_length_c 7.371
_cell_angle_alpha 120.02
_cell_angle_beta 90.00
_cell_angle_gamma 90.00
loop_
_space_group_symop_operation_xyz
'x,y,z'
loop_
_atom_site_label
_atom_site_type_symbol
_atom_site_fract_x
_atom_site_fract_y
_atom_site_fract_z
Dy1 Dy 0.000 0.204 0.796
Dy2 Dy 0.000 0.796 0.204
Ho1 Ho 0.000 0.389 0.389
Mg1 Mg 0.500 0.041 0.041
Mg2 Mg 0.500 0.552 0.796
Mg3 Mg 0.500 0.796 0.552
Pd1 Pd 0.500 0.130 0.463
Pd2 Pd 0.500 0.463 0.130
Pt1 Pt 0.000 0.796 0.796
```

***

Entry 2:
## HfScFeBi (GGA-PBE)

Data for a relaxed structure of HfScFeBi.

Summary:
The total energy comes out at -27.69 eV per cell. For the total magnetization, the calculation gives 1.69 μB/cell. As for the distance to the lowest polymorph of the same formula: 0.00 eV per formula unit.

Structure (CIF):
```
data_HfScFeBi
_chemical_formula_sum 'Hf1 Sc1 Fe1 Bi1'
_space_group_name_H-M_alt 'P 1'
_space_group_IT_number 1
_cell_length_a 4.789
_cell_length_b 4.789
_cell_length_c 4.789
_cell_angle_alpha 60.00
_cell_angle_beta 60.00
_cell_angle_gamma 60.00
loop_
_space_group_symop_operation_xyz
'x,y,z'
loop_
_atom_site_label
_atom_site_type_symbol
_atom_site_fract_x
_atom_site_fract_y
_atom_site_fract_z
Hf1 Hf 0.000 0.000 0.000
Sc1 Sc 0.250 0.250 0.250
Fe1 Fe 0.750 0.750 0.750
Bi1 Bi 0.500 0.500 0.500
```

***

Entry 3:
## Dy2ErTmIr4 (GGA-PBE)

Data for a relaxed structure of Dy2ErTmIr4.

Summary:
The value obtained for the formation enthalpy at 0 K is -0.860 eV/atom. The total energy comes out at -60.54 eV per cell. For the total magnetization, the calculation gives 0.00 μB/cell.

Structure (CIF):
```
data_Dy2ErTmIr4
_chemical_formula_sum 'Dy2 Er1 Tm1 Ir4'
_space_group_name_H-M_alt 'P 1'
_space_group_IT_number 1
_cell_length_a 4.808
_cell_length_b 4.808
_cell_length_c 6.801
_cell_angle_alpha 90.00
_cell_angle_beta 90.00
_cell_angle_gamma 90.00
loop_
_space_group_symop_operation_xyz
'x,y,z'
loop_
_atom_site_label
_atom_site_type_symbol
_atom_site_fract_x
_atom_site_fract_y
_atom_site_fract_z
Dy1 Dy 0.000 0.000 0.000
Dy2 Dy 0.500 0.500 0.500
Er1 Er 0.000 0.000 0.500
Tm1 Tm 0.500 0.500 0.000
Ir1 Ir 0.000 0.500 0.250
Ir2 Ir 0.000 0.500 0.750
Ir3 Ir 0.500 0.000 0.250
Ir4 Ir 0.500 0.000 0.750
```